The following is a PBE with a Hubbard U calculation of an optimized crystal structure of LiPWO4, from Alexandria via LeMat-Bulk.

a b c (Å): 4.6964 6.1336 11.1889
angles (deg): 90.00 90.00 90.00
Last column: magnetic moment on the atom in μB.
Atoms (fractional coordinates):
Li1 0.0000 0.0000 0.0000  0.00
Li2 0.5000 0.0000 0.5000  0.00
Li3 0.0000 0.5000 0.0000  0.00
Li4 0.5000 0.5000 0.5000  0.00
P1 0.5806 0.7500 0.9164  0.01
P2 0.9194 0.7500 0.4164  0.01
P3 0.4194 0.2500 0.0836  0.01
P4 0.0806 0.2500 0.5836  0.01
W1 0.0130 0.7500 0.7284  1.82
W2 0.4870 0.7500 0.2284  1.82
W3 0.9870 0.2500 0.2716  1.82
W4 0.5130 0.2500 0.7716  1.82
O1 0.7466 0.2500 0.0884  0.00
O2 0.2237 0.4531 0.6478  0.01
O3 0.7237 0.5469 0.8522  0.01
O4 0.7763 0.9531 0.3522  0.01
O5 0.2763 0.0469 0.1478  0.01
O6 0.7763 0.5469 0.3522  0.01
O7 0.2763 0.4531 0.1478  0.01
O8 0.2237 0.0469 0.6478  0.01
O9 0.2534 0.7500 0.9116  0.00
O10 0.7534 0.2500 0.5884  0.00
O11 0.7237 0.9531 0.8522  0.01
O12 0.2466 0.7500 0.4116  0.00
O13 0.7028 0.7500 0.0451  0.00
O14 0.2972 0.2500 0.9549  0.00
O15 0.2028 0.2500 0.4549  0.00
O16 0.7972 0.7500 0.5451  0.00

Results
For the uncorrected energy, the calculation gives -185.107 eV per cell.


The following is a PBE with a Hubbard U calculation of an optimized crystal structure of LiP4WO12, from Alexandria via LeMat-Bulk.

a b c (Å): 7.8835 9.6322 13.1980
angles (deg): 90.00 90.00 89.01
Last column: magnetic moment on the atom in μB.
Atoms (fractional coordinates):
Li1 0.5473 0.0177 0.2343  0.00
Li2 0.9527 0.4823 0.7343  0.00
Li3 0.0473 0.5177 0.2657  0.00
Li4 0.4527 0.9823 0.7657  0.00
P1 0.4451 0.2202 0.5712  0.01
P2 0.3329 0.2475 0.3595  0.01
P3 0.5444 0.2421 0.8659  0.01
P4 0.6757 0.2617 0.0802  0.00
P5 0.8243 0.2383 0.5802  0.00
P6 0.9556 0.2579 0.3659  0.01
P7 0.1671 0.2525 0.8595  0.01
P8 0.0549 0.2798 0.0712  0.01
P9 0.9451 0.7202 0.9288  0.01
P10 0.8329 0.7475 0.1405  0.01
P11 0.0444 0.7421 0.6341  0.01
P12 0.1757 0.7617 0.4198  0.00
P13 0.3243 0.7383 0.9198  0.00
P14 0.4556 0.7579 0.1341  0.01
P15 0.6671 0.7525 0.6405  0.01
P16 0.5549 0.7798 0.4288  0.01
W1 0.8660 0.9974 0.7797  2.77
W2 0.6340 0.5026 0.2797  2.77
W3 0.3660 0.4974 0.7203  2.77
W4 0.1340 0.0026 0.2203  2.77
O1 0.3328 0.1343 0.2796  0.01
O2 0.6379 0.1235 0.1229  0.00
O3 0.6530 0.1159 0.8439  0.01
O4 0.4249 0.1083 0.6473  0.00
O5 0.3588 0.1704 0.4655  0.00
O6 0.9457 0.1367 0.2940  0.01
O7 0.1240 0.1350 0.0907  0.01
O8 0.6376 0.2330 0.5312  0.00
O9 0.8540 0.1103 0.6427  0.01
O10 0.9328 0.2041 0.4780  0.00
O11 0.3534 0.1828 0.8675  0.00
O12 0.0452 0.1382 0.8450  0.01
O13 0.4548 0.3618 0.3450  0.01
O14 0.5672 0.2959 0.9780  0.00
O15 0.1466 0.3172 0.3675  0.00
O16 0.6460 0.3897 0.1427  0.01
O17 0.8624 0.2670 0.0312  0.00
O18 0.3760 0.3650 0.5907  0.01
O19 0.5543 0.3633 0.7940  0.01
O20 0.1412 0.3296 0.9655  0.00
O21 0.8470 0.3841 0.3439  0.01
O22 0.0751 0.3917 0.1473  0.00
O23 0.8621 0.3765 0.6229  0.00
O24 0.1672 0.3657 0.7796  0.01
O25 0.8328 0.6343 0.2204  0.01
O26 0.1379 0.6235 0.3771  0.00
O27 0.9249 0.6083 0.8527  0.00
O28 0.1530 0.6159 0.6561  0.01
O29 0.8588 0.6704 0.0345  0.00
O30 0.4457 0.6367 0.2060  0.01
O31 0.6240 0.6350 0.4093  0.01
O32 0.1376 0.7330 0.9688  0.00
O33 0.3540 0.6103 0.8573  0.01
O34 0.8534 0.6828 0.6325  0.00
O35 0.4328 0.7041 0.0220  0.00
O36 0.5452 0.6382 0.6550  0.01
O37 0.9548 0.8618 0.1550  0.01
O38 0.6466 0.8172 0.1325  0.00
O39 0.0672 0.7959 0.5220  0.00
O40 0.1460 0.8897 0.3573  0.01
O41 0.3624 0.7670 0.4688  0.00
O42 0.8760 0.8650 0.9093  0.01
O43 0.0543 0.8633 0.7060  0.01
O44 0.6412 0.8296 0.5345  0.00
O45 0.5751 0.8917 0.3527  0.00
O46 0.3470 0.8841 0.1561  0.01
O47 0.3621 0.8765 0.8771  0.00
O48 0.6672 0.8657 0.7204  0.01

Results
For the uncorrected energy, the calculation gives -514.606 eV per cell.


The following is a PBE with a Hubbard U calculation of an optimized crystal structure of Li2PWO6, from Alexandria via LeMat-Bulk.

a b c (Å): 8.4540 8.4540 7.2066
angles (deg): 78.37 78.37 73.04
Last column: magnetic moment on the atom in μB.
Atoms (fractional coordinates):
Li1 0.3366 0.9325 0.4166  0.00
Li2 0.9325 0.3366 0.9166  0.00
Li3 0.9853 0.0147 0.2500  0.00
Li4 0.3997 0.6003 0.2500  0.00
Li5 0.0147 0.9853 0.7500  0.00
Li6 0.6003 0.3997 0.7500  0.00
Li7 0.0675 0.6634 0.0834  0.00
Li8 0.6634 0.0675 0.5834  0.00
P1 0.9244 0.3034 0.4586  0.00
P2 0.3034 0.9244 0.9586  0.00
P3 0.6966 0.0756 0.0414  0.00
P4 0.0756 0.6966 0.5414  0.00
W1 0.7147 0.7226 0.3655  1.00
W2 0.7226 0.7147 0.8655  1.00
W3 0.2774 0.2853 0.1345  1.00
W4 0.2853 0.2774 0.6345  1.00
O1 0.9694 0.7210 0.3773  0.00
O2 0.6754 0.9703 0.2455  0.00
O3 0.7210 0.9694 0.8773  0.00
O4 0.9703 0.6754 0.7455  0.00
O5 0.8245 0.6690 0.1083  0.04
O6 0.7803 0.4653 0.4810  0.01
O7 0.6690 0.8245 0.6083  0.04
O8 0.5031 0.7107 0.3799  -0.04
O9 0.4653 0.7803 0.9810  0.01
O10 0.8613 0.1480 0.4812  0.00
O11 0.7107 0.5031 0.8799  -0.04
O12 0.1480 0.8613 0.9812  0.00
O13 0.8520 0.1387 0.0188  0.00
O14 0.2893 0.4969 0.1201  -0.04
O15 0.1387 0.8520 0.5188  0.00
O16 0.5347 0.2197 0.0190  0.01
O17 0.4969 0.2893 0.6201  -0.04
O18 0.3310 0.1755 0.3917  0.04
O19 0.2197 0.5347 0.5190  0.01
O20 0.1755 0.3310 0.8917  0.04
O21 0.0297 0.3246 0.2545  0.00
O22 0.2790 0.0306 0.1227  0.00
O23 0.3246 0.0297 0.7545  0.00
O24 0.0306 0.2790 0.6227  0.00

Results
For the uncorrected energy, the calculation gives -272.604 eV per cell.


The following is a PBE with a Hubbard U calculation of an optimized crystal structure of LiP2WO8, from Alexandria via LeMat-Bulk.

a b c (Å): 6.9923 5.3648 7.9718
angles (deg): 90.00 90.00 90.00
Last column: magnetic moment on the atom in μB.
Atoms (fractional coordinates):
Li1 0.0097 0.4380 0.2502  0.00
Li2 0.5097 0.5620 0.7498  0.00
P1 0.2028 0.2465 0.5661  0.01
P2 0.7028 0.7535 0.4339  0.01
P3 0.3190 0.7535 0.0661  0.01
P4 0.8190 0.2465 0.9339  0.01
W1 0.0108 0.7482 0.7500  0.99
W2 0.5108 0.2518 0.2500  0.99
O1 0.1948 0.0120 0.6844  0.00
O2 0.2024 0.4779 0.6916  0.00
O3 0.5448 0.7463 0.5574  0.00
O4 0.9092 0.7487 0.5123  0.00
O5 0.4092 0.2513 0.4877  0.00
O6 0.0448 0.2537 0.4426  0.00
O7 0.7024 0.5221 0.3084  0.00
O8 0.6948 0.9880 0.3156  0.00
O9 0.3196 0.5218 0.1914  0.00
O10 0.3268 0.9877 0.1846  0.00
O11 0.9767 0.2534 0.0576  0.00
O12 0.6125 0.2514 0.0123  0.00
O13 0.1124 0.7486 0.9877  0.00
O14 0.4767 0.7466 0.9424  0.00
O15 0.8268 0.0123 0.8154  0.00
O16 0.8196 0.4782 0.8086  0.00

Results
For the uncorrected energy, the calculation gives -170.860 eV per cell.


The following is a PBE with a Hubbard U calculation of an optimized crystal structure of LiP2WO8, from Alexandria via LeMat-Bulk.

a b c (Å): 4.9969 4.9969 7.9216
angles (deg): 80.70 80.70 64.59
Last column: magnetic moment on the atom in μB.
Atoms (fractional coordinates):
Li1 0.0000 0.0000 0.0000  0.00
P1 0.6862 0.6862 0.2939  0.01
P2 0.3138 0.3138 0.7061  0.01
W1 0.0000 0.0000 0.5000  0.99
O1 0.7803 0.7803 0.4467  0.01
O2 0.7908 0.7908 0.1203  0.00
O3 0.8063 0.3367 0.3231  0.00
O4 0.3367 0.8063 0.3231  0.00
O5 0.6633 0.1937 0.6769  0.00
O6 0.1937 0.6633 0.6769  0.00
O7 0.2092 0.2092 0.8797  0.00
O8 0.2197 0.2197 0.5533  0.01

Results
For the uncorrected energy, the calculation gives -85.622 eV per cell.


The following is a PBE with a Hubbard U calculation of an optimized crystal structure of LiPWO5, from Alexandria via LeMat-Bulk.

a b c (Å): 7.5233 7.5233 10.8660
angles (deg): 68.50 68.50 42.56
Last column: magnetic moment on the atom in μB.
Atoms (fractional coordinates):
Li1 0.5000 0.0000 0.5000  0.00
Li2 0.5000 0.5000 0.5000  0.00
Li3 0.5000 0.5000 0.0000  0.00
Li4 0.0000 0.5000 0.0000  0.00
P1 0.8806 0.8683 0.6895  0.01
P2 0.1194 0.1317 0.3105  0.01
P3 0.8683 0.8806 0.1895  0.01
P4 0.1317 0.1194 0.8105  0.01
W1 0.5061 0.4939 0.7500  1.90
W2 0.0000 0.5000 0.5000  1.93
W3 0.4939 0.5061 0.2500  1.90
W4 0.5000 0.0000 0.0000  1.93
O1 0.2085 0.1906 0.6608  0.02
O2 0.8277 0.8034 0.5949  0.01
O3 0.3414 0.4102 0.4233  -0.01
O4 0.1826 0.7038 0.6585  0.01
O5 0.7071 0.1709 0.6564  0.01
O6 0.6586 0.5898 0.5767  -0.01
O7 0.7915 0.8094 0.3392  0.02
O8 0.1723 0.1966 0.4051  0.01
O9 0.1709 0.7071 0.1564  0.01
O10 0.2929 0.8291 0.3436  0.01
O11 0.7038 0.1826 0.1585  0.01
O12 0.8174 0.2962 0.3415  0.01
O13 0.1906 0.2085 0.1608  0.02
O14 0.8034 0.8277 0.0949  0.01
O15 0.2962 0.8174 0.8415  0.01
O16 0.8291 0.2929 0.8436  0.01
O17 0.5898 0.6586 0.0767  -0.01
O18 0.4102 0.3414 0.9233  -0.01
O19 0.1966 0.1723 0.9051  0.01
O20 0.8094 0.7915 0.8392  0.02

Results
For the uncorrected energy, the calculation gives -227.152 eV per cell.


The following is a PBE with a Hubbard U calculation of an optimized crystal structure of LiP4WO12, from Alexandria via LeMat-Bulk.

a b c (Å): 8.7480 8.7480 9.8457
angles (deg): 60.35 60.35 50.45
Last column: magnetic moment on the atom in μB.
Atoms (fractional coordinates):
Li1 0.6911 0.3089 0.7500  0.00
Li2 0.3089 0.6911 0.2500  0.00
P1 0.0306 0.6855 0.1716  0.01
P2 0.4449 0.2913 0.1337  0.00
P3 0.7087 0.5551 0.3663  0.00
P4 0.3145 0.9694 0.3284  0.01
P5 0.6855 0.0306 0.6716  0.01
P6 0.2913 0.4449 0.6337  0.00
P7 0.5551 0.7087 0.8663  0.00
P8 0.9694 0.3145 0.8284  0.01
W1 0.1350 0.8650 0.7500  2.78
W2 0.8650 0.1350 0.2500  2.78
O1 0.5976 0.1962 0.2223  0.01
O2 0.2367 0.4755 0.2125  0.00
O3 0.0179 0.7427 0.0053  0.01
O4 0.8600 0.6355 0.3079  0.00
O5 0.9785 0.1646 0.7854  0.01
O6 0.3645 0.1400 0.1921  0.00
O7 0.2573 0.9821 0.4947  0.01
O8 0.6446 0.5017 0.5457  0.00
O9 0.4983 0.3554 0.9543  0.00
O10 0.5245 0.7633 0.2875  0.00
O11 0.8038 0.4024 0.2777  0.01
O12 0.8354 0.0215 0.7146  0.01
O13 0.1646 0.9785 0.2854  0.01
O14 0.1962 0.5976 0.7223  0.01
O15 0.4755 0.2367 0.7125  0.00
O16 0.5017 0.6446 0.0457  0.00
O17 0.3554 0.4983 0.4543  0.00
O18 0.7427 0.0179 0.5053  0.01
O19 0.6355 0.8600 0.8079  0.00
O20 0.0215 0.8354 0.2146  0.01
O21 0.1400 0.3645 0.6921  0.00
O22 0.9821 0.2573 0.9947  0.01
O23 0.7633 0.5245 0.7875  0.00
O24 0.4024 0.8038 0.7777  0.01

Results
For the uncorrected energy, the calculation gives -256.938 eV per cell.


The following is a PBE with a Hubbard U calculation of an optimized crystal structure of LiP4WO12, from Alexandria via LeMat-Bulk.

a b c (Å): 7.5019 7.5019 10.3617
angles (deg): 66.64 66.64 69.41
Last column: magnetic moment on the atom in μB.
Atoms (fractional coordinates):
Li1 0.0153 0.9847 0.2500  0.00
Li2 0.9847 0.0153 0.7500  0.00
P1 0.6955 0.6778 0.8092  0.01
P2 0.2587 0.7273 0.9746  0.01
P3 0.2727 0.7413 0.5254  0.01
P4 0.6778 0.6955 0.3092  0.01
P5 0.3222 0.3045 0.6908  0.01
P6 0.7273 0.2587 0.4746  0.01
P7 0.7413 0.2727 0.0254  0.01
P8 0.3045 0.3222 0.1908  0.01
W1 0.0000 0.5000 0.5000  2.77
W2 0.5000 0.0000 0.0000  2.77
O1 0.8013 0.6535 0.6593  0.01
O2 0.3036 0.8035 0.0722  0.01
O3 0.4681 0.6722 0.8489  0.00
O4 0.0993 0.8434 0.9053  0.00
O5 0.8633 0.7058 0.3295  0.01
O6 0.2175 0.5076 0.0692  0.00
O7 0.8035 0.3036 0.5722  0.01
O8 0.1566 0.9007 0.5947  0.00
O9 0.4924 0.7825 0.4308  0.00
O10 0.6535 0.8013 0.1593  0.01
O11 0.3278 0.5319 0.6511  0.00
O12 0.2942 0.1367 0.1705  0.01
O13 0.7058 0.8633 0.8295  0.01
O14 0.6722 0.4681 0.3489  0.00
O15 0.3465 0.1987 0.8407  0.01
O16 0.5076 0.2175 0.5692  0.00
O17 0.8434 0.0993 0.4053  0.00
O18 0.1965 0.6964 0.4278  0.01
O19 0.7825 0.4924 0.9308  0.00
O20 0.1367 0.2942 0.6705  0.01
O21 0.9007 0.1566 0.0947  0.00
O22 0.5319 0.3278 0.1511  0.00
O23 0.6964 0.1965 0.9278  0.01
O24 0.1987 0.3465 0.3407  0.01

Results
For the uncorrected energy, the calculation gives -257.430 eV per cell.


The following is a PBE with a Hubbard U calculation of an optimized crystal structure of LiPW4O13, from Alexandria via LeMat-Bulk.

a b c (Å): 10.2739 10.5035 9.9662
angles (deg): 90.00 90.00 90.00
Last column: magnetic moment on the atom in μB.
Atoms (fractional coordinates):
Li1 0.5326 0.5000 0.5861  0.01
Li2 0.0324 0.0000 0.9087  0.01
Li3 0.4674 0.5000 0.0861  0.01
Li4 0.9676 0.0000 0.4087  0.01
P1 0.1665 0.5000 0.7508  0.01
P2 0.6665 0.0000 0.7441  0.01
P3 0.8335 0.5000 0.2508  0.01
P4 0.3335 0.0000 0.2441  0.01
W1 0.9957 0.6664 0.9963  1.02
W2 0.9957 0.3336 0.9963  1.02
W3 0.2135 0.1785 0.7539  1.02
W4 0.2135 0.8215 0.7539  1.02
W5 0.7135 0.6785 0.7409  1.02
W6 0.7135 0.3215 0.7409  1.02
W7 0.4957 0.1664 0.4985  1.02
W8 0.4957 0.8336 0.4985  1.02
W9 0.0043 0.6664 0.4963  1.02
W10 0.0043 0.3336 0.4963  1.02
W11 0.7865 0.1785 0.2539  1.02
W12 0.7865 0.8215 0.2539  1.02
W13 0.2865 0.6785 0.2409  1.02
W14 0.2865 0.3215 0.2409  1.02
W15 0.5043 0.1664 0.9985  1.02
W16 0.5043 0.8336 0.9985  1.02
O1 0.3497 0.1585 0.8856  -0.04
O2 0.3497 0.8415 0.8856  -0.04
O3 0.8521 0.6497 0.8852  -0.04
O4 0.8521 0.3503 0.8852  -0.04
O5 0.0782 0.5000 0.8830  0.00
O6 0.5743 0.0000 0.8733  0.00
O7 0.0744 0.1929 0.8962  0.03
O8 0.0744 0.8071 0.8962  0.03
O9 0.5902 0.2877 0.8793  -0.01
O10 0.5902 0.7123 0.8793  -0.01
O11 0.2496 0.6202 0.7509  0.01
O12 0.2496 0.3798 0.7509  0.01
O13 0.1618 0.0000 0.7649  0.04
O14 0.6619 0.5000 0.7299  0.04
O15 0.7496 0.1202 0.7440  0.01
O16 0.7496 0.8798 0.7440  0.01
O17 0.0903 0.2123 0.6155  -0.01
O18 0.0903 0.7877 0.6155  -0.01
O19 0.5744 0.6929 0.5985  0.03
O20 0.5744 0.3071 0.5985  0.03
O21 0.0743 0.5000 0.6216  0.00
O22 0.5782 0.0000 0.6119  0.00
O23 0.3521 0.1498 0.6096  -0.04
O24 0.3521 0.8502 0.6096  -0.04
O25 0.8497 0.6586 0.6092  -0.04
O26 0.8497 0.3414 0.6092  -0.04
O27 0.6503 0.1585 0.3856  -0.04
O28 0.6503 0.8415 0.3856  -0.04
O29 0.1479 0.6497 0.3852  -0.04
O30 0.1479 0.3503 0.3852  -0.04
O31 0.9218 0.5000 0.3830  0.00
O32 0.4257 0.0000 0.3733  0.00
O33 0.9256 0.1929 0.3962  0.03
O34 0.9256 0.8071 0.3962  0.03
O35 0.4098 0.2877 0.3793  -0.01
O36 0.4098 0.7123 0.3793  -0.01
O37 0.7504 0.3798 0.2509  0.01
O38 0.7504 0.6202 0.2509  0.01
O39 0.8382 0.0000 0.2649  0.04
O40 0.3381 0.5000 0.2299  0.04
O41 0.2504 0.1202 0.2440  0.01
O42 0.2504 0.8798 0.2440  0.01
O43 0.9097 0.2123 0.1155  -0.01
O44 0.9097 0.7877 0.1155  -0.01
O45 0.4256 0.6929 0.0985  0.03
O46 0.4256 0.3071 0.0985  0.03
O47 0.9257 0.5000 0.1216  0.00
O48 0.4218 0.0000 0.1119  0.00
O49 0.6479 0.1498 0.1096  -0.04
O50 0.6479 0.8502 0.1096  -0.04
O51 0.1503 0.3414 0.1092  -0.04
O52 0.1503 0.6586 0.1092  -0.04

Results
For the uncorrected energy, the calculation gives -558.226 eV per cell.


- Which formula does entry 2 have?
  LiP4WO12


- Which formula does entry 3 have?
  Li2PWO6


- What is the uncorrected energy in the sixth record?
  -227.152 eV per cell